VASP calculation (PBE) on crystalline LiLaCeAl at its relaxed geometry.

As for the density of states at the Fermi level: 7.88 states/eV per cell. Its total magnetic moment is 0.7 μB/f.u. Its total energy is -4.221 eV/atom. The space-group type is F-43m. The energy relative to the elements comes out at -0.091 eV/atom.

Cell: 5.3067 5.3067 5.3067 Å, 60.00 60.00 60.00°
Closest atoms and distances in Å follow each position.
Fractional coordinates of all 4 atoms:
Li: 0.0000 0.0000 0.0000  4 Ce 3.25, 4 La 3.25
Al: 0.5000 0.5000 0.5000  4 La 3.25, 4 Ce 3.25
Ce: 0.7500 0.7500 0.7500  4 Al 3.25, 4 Li 3.25
La: 0.2500 0.2500 0.2500  4 Li 3.25, 4 Al 3.25



VASP calculation (PBE) on crystalline YZnP2 at its relaxed geometry.

As for the density of states at the Fermi level: 1.79 states/eV per cell. Its total magnetic moment is 0.0 μB/f.u. Its total energy is -5.204 eV/atom. The space-group type is C2/m. The energy relative to the elements comes out at -0.564 eV/atom.

Cell: 4.1488 4.1488 6.9996 Å, 60.87 60.87 56.44°
Closest atoms and distances in Å follow each position.
Fractional coordinates of all 4 atoms:
P: 0.9403 0.9403 0.0137  2 Zn 2.44
P: 0.5597 0.5597 0.4863  2 Zn 2.44
Y: 0.7500 0.7500 0.7500  6 P 2.79-2.86
Zn: 0.2500 0.2500 0.2500  4 P 2.44



VASP calculation (PBE) on crystalline DyThIr2 at its relaxed geometry.

As for the density of states at the Fermi level: 2.32 states/eV per cell. Its total magnetic moment is 0.0 μB/f.u. The value obtained for the distance to the lowest polymorph of the same formula is 12.24 kJ per mole of atoms. Its total energy is -8.225 eV/atom. The space-group type is Fm-3m. The energy relative to the elements comes out at -0.789 eV/atom.

Cell: 4.9719 4.9719 4.9719 Å, 60.00 60.00 60.00°
Closest atoms and distances in Å follow each position.
Fractional coordinates of all 4 atoms:
Ir: 0.2500 0.2500 0.2500  4 Th 3.04, 4 Dy 3.04
Ir: 0.7500 0.7500 0.7500  4 Th 3.04, 4 Dy 3.04
Th: 0.5000 0.5000 0.5000  8 Ir 3.04
Dy: 0.0000 0.0000 0.0000  8 Ir 3.04